A plane-wave DFT calculation with PBE was carried out for Pm3In3Hg2Ru after structural relaxation.

abc: 4.253 7.828 7.828
angles: 120.00 90.00 90.00
Element x y z (fractional)
Pm 0.000 0.000 0.389
Pm 0.000 0.611 0.611
Pm 0.000 0.389 0.000
In 0.500 0.759 0.000
In 0.500 0.241 0.241
In 0.500 0.000 0.759
Hg 0.500 0.333 0.667
Hg 0.500 0.667 0.333
Ru 0.000 0.000 0.000

Formation enthalpy at 0 K in kJ per mole of atoms: -42.21

=====

A plane-wave DFT calculation with PBE was carried out for Sr3I5Br after structural relaxation.

abc: 9.120 9.120 11.687
angles: 72.40 72.40 74.26
Element x y z (fractional)
Sr 0.664 0.664 0.835
Sr 0.684 0.684 0.348
Sr 0.000 0.000 0.000
Sr 0.000 0.000 0.500
Sr 0.336 0.336 0.165
Sr 0.316 0.316 0.652
I 0.977 0.371 0.345
I 0.300 0.700 0.000
I 0.765 0.765 0.044
I 0.452 0.452 0.356
I 0.548 0.548 0.644
I 0.235 0.235 0.956
I 0.371 0.977 0.345
I 0.700 0.300 0.000
I 0.023 0.629 0.655
I 0.629 0.023 0.655
Br 0.090 0.090 0.709
Br 0.910 0.910 0.291

Polymorph energy (0 for the lowest one) in eV per atom: 0.005
Formation energy (no corrections) in kJ/mol of formula units: -1517

=====

A plane-wave DFT calculation with PBE was carried out for LaGaAu3 after structural relaxation.

abc: 5.672 5.672 5.672
angles: 90.00 90.00 90.00
Element x y z (fractional)
Au 0.000 0.500 0.000
Au 0.000 0.000 0.500
Au 0.500 0.000 0.000
Ga 0.500 0.500 0.500
La 0.000 0.000 0.000

Polymorph energy (0 for the lowest one) in eV per atom: 0.946
Formation enthalpy at 0 K in kJ per mole of atoms: 29.93

=====

A plane-wave DFT calculation with PBE was carried out for AuBr3N2 after structural relaxation.

abc: 6.622 6.622 7.528
angles: 54.48 54.48 75.79
Element x y z (fractional)
Au 0.000 0.000 0.000
Br 0.500 0.500 0.500
Br 0.742 0.742 0.627
Br 0.258 0.258 0.373
N 0.758 0.758 0.365
N 0.242 0.242 0.635

Polymorph energy (0 for the lowest one) in eV per atom: 0.895
Formation energy (no corrections) in kJ/mol of formula units: 515

=====

A plane-wave DFT calculation with PBE was carried out for HoScAgPb after structural relaxation.

abc: 5.137 5.137 5.137
angles: 60.00 60.00 60.00
Element x y z (fractional)
Pb 0.750 0.750 0.750
Sc 0.500 0.500 0.500
Ho 0.000 0.000 0.000
Ag 0.250 0.250 0.250

Formation enthalpy at 0 K in kJ per mole of atoms: -33.69

=====

A plane-wave DFT calculation with PBE was carried out for PuH2Pd2 after structural relaxation.

abc: 6.355 6.355 5.216
angles: 102.87 102.87 130.34
Element x y z (fractional)
Pu 0.890 0.610 0.750
Pu 0.110 0.390 0.250
H 0.090 0.410 0.750
H 0.435 0.065 0.250
H 0.565 0.935 0.750
H 0.910 0.590 0.250
Pd 0.193 0.015 0.415
Pd 0.515 0.693 0.915
Pd 0.807 0.985 0.585
Pd 0.485 0.307 0.085

E in eV per atom: -6.559

=====

A plane-wave DFT calculation with PBE was carried out for TaWSe2 after structural relaxation.

abc: 3.118 5.380 5.392
angles: 48.73 90.00 90.00
Element x y z (fractional)
Se 0.000 0.000 0.000
Se 0.500 0.500 0.000
Ta 0.500 0.500 0.500
W 0.000 0.000 0.500

Polymorph energy (0 for the lowest one) in eV per atom: 0.486
Formation energy (no corrections) in kJ/mol of formula units: 61

=====

A plane-wave DFT calculation with PBE was carried out for Cu after structural relaxation.

abc: 2.558 9.882 6.306
angles: 90.00 90.00 90.00
Element x y z (fractional)
Cu 0.500 0.620 0.892
Cu 0.500 0.380 0.892
Cu 0.500 0.120 0.392
Cu 0.500 0.880 0.392
Cu 0.500 0.000 0.749
Cu 0.500 0.500 0.249
Cu 0.000 0.220 0.686
Cu 0.000 0.780 0.686
Cu 0.000 0.720 0.186
Cu 0.000 0.280 0.186
Cu 0.000 0.000 0.093
Cu 0.000 0.500 0.593

Polymorph energy (0 for the lowest one) in eV per atom: 0.225
Formation enthalpy at 0 K in kJ per mole of atoms: 21.72

=====

A plane-wave DFT calculation with PBE was carried out for NaMg2Sn3 after structural relaxation.

abc: 3.822 8.277 10.050
angles: 90.00 90.00 103.35
Element x y z (fractional)
Na 0.215 0.431 0.250
Na 0.785 0.569 0.750
Mg 0.000 0.000 0.000
Mg 0.000 0.000 0.500
Mg 0.537 0.073 0.250
Mg 0.463 0.927 0.750
Sn 0.655 0.309 0.999
Sn 0.114 0.229 0.750
Sn 0.655 0.309 0.501
Sn 0.886 0.771 0.250
Sn 0.345 0.691 0.001
Sn 0.345 0.691 0.499

Polymorph energy (0 for the lowest one) in eV per atom: 0.063
Formation enthalpy at 0 K in kJ per mole of atoms: -7.00

=====

A plane-wave DFT calculation with PBE was carried out for FeCuTc2 after structural relaxation.

abc: 2.602 2.602 8.479
angles: 90.00 90.00 108.73
Element x y z (fractional)
Cu 0.000 0.000 0.510
Fe 0.500 0.500 0.747
Tc 0.000 0.000 0.991
Tc 0.500 0.500 0.252

Polymorph energy (0 for the lowest one) in eV per atom: 0.082
Formation enthalpy at 0 K in kJ per mole of atoms: 22.93

=====

A plane-wave DFT calculation with PBE was carried out for Na3Ga8Pd after structural relaxation.

abc: 5.615 5.615 9.337
angles: 72.50 72.50 60.00
Element x y z (fractional)
Na 0.377 0.377 0.869
Na 0.997 0.997 0.009
Na 0.502 0.502 0.493
Ga 0.931 0.441 0.187
Ga 0.437 0.943 0.676
Ga 0.441 0.441 0.187
Ga 0.943 0.943 0.676
Ga 0.191 0.191 0.426
Ga 0.692 0.692 0.924
Ga 0.441 0.931 0.187
Ga 0.943 0.437 0.676
Pd 0.854 0.854 0.439

Formation enthalpy at 0 K in kJ per mole of atoms: -9.57

=====

A plane-wave DFT calculation with PBE was carried out for Ti2PdBr after structural relaxation.

abc: 6.910 6.910 5.772
angles: 53.23 53.23 90.00
Element x y z (fractional)
Br 0.500 0.500 0.000
Br 0.250 0.750 0.500
Pd 0.000 0.000 0.000
Pd 0.750 0.250 0.500
Ti 0.619 0.125 0.250
Ti 0.131 0.625 0.250
Ti 0.375 0.381 0.750
Ti 0.875 0.869 0.750

Polymorph energy (0 for the lowest one) in eV per atom: 0.077
Formation energy (no corrections) in kJ/mol of formula units: 3

=====

no.,calculated volume (Å³ per atom)
1,25.08
2,48.09
3,36.50
4,36.10
5,23.97
6,13.61
7,16.99
8,13.29
9,25.78
10,13.59
11,19.93
12,18.34